# 1
First-principles (PBE with a Hubbard U) data for a relaxed K2PaVO6 crystal, as listed in Alexandria.

Unit cell a=5.813 b=5.813 c=5.813 alpha=60.00 beta=60.00 gamma=60.00
Fractional coordinates of all 10 atoms:
K 0.250 0.250 0.250
K 0.750 0.750 0.750
Pa 0.000 0.000 0.000
V 0.500 0.500 0.500
O 0.266 0.266 0.734
O 0.266 0.734 0.266
O 0.266 0.734 0.734
O 0.734 0.266 0.266
O 0.734 0.266 0.734
O 0.734 0.734 0.266

Total DFT energy (no corrections) (eV/atom): -7.356


# 2
First-principles (PBE with a Hubbard U) data for a relaxed K3PaV2O8 crystal, as listed in Alexandria.

Unit cell a=6.043 b=6.043 c=7.736 alpha=90.00 beta=90.00 gamma=120.00
Fractional coordinates of all 14 atoms:
K 0.000 0.000 0.000
K 0.333 0.667 0.689
K 0.667 0.333 0.311
Pa 0.000 0.000 0.500
V 0.333 0.667 0.239
V 0.667 0.333 0.761
O 0.170 0.339 0.334
O 0.170 0.830 0.334
O 0.333 0.667 0.020
O 0.339 0.170 0.666
O 0.661 0.830 0.334
O 0.667 0.333 0.980
O 0.830 0.170 0.666
O 0.830 0.661 0.666

Total DFT energy (no corrections) (eV/atom): -7.117


# 3
First-principles (PBE with a Hubbard U) data for a relaxed KPaVO6 crystal, as listed in Alexandria.

Unit cell a=5.547 b=5.547 c=4.864 alpha=90.00 beta=90.00 gamma=120.00
Fractional coordinates of all 9 atoms:
K 0.000 0.000 0.000
Pa 0.667 0.333 0.500
V 0.333 0.667 0.000
O 0.025 0.440 0.234
O 0.025 0.586 0.766
O 0.414 0.440 0.766
O 0.414 0.975 0.234
O 0.560 0.586 0.234
O 0.560 0.975 0.766

Total DFT energy (no corrections) (eV/atom): -7.483


# 4
First-principles (PBE with a Hubbard U) data for a relaxed K2PaV2O7 crystal, as listed in Alexandria.

Unit cell a=8.353 b=8.353 c=8.353 alpha=42.85 beta=42.85 gamma=42.85
Fractional coordinates of all 12 atoms:
K 0.232 0.232 0.232
K 0.768 0.768 0.768
Pa 0.500 0.500 0.500
V 0.081 0.081 0.081
V 0.919 0.919 0.919
O 0.000 0.000 0.000
O 0.212 0.725 0.725
O 0.275 0.275 0.788
O 0.275 0.788 0.275
O 0.725 0.212 0.725
O 0.725 0.725 0.212
O 0.788 0.275 0.275

Total DFT energy (no corrections) (eV/atom): -7.473


# 5
First-principles (PBE with a Hubbard U) data for a relaxed KPaV2O8 crystal, as listed in Alexandria.

Unit cell a=5.893 b=5.893 c=7.663 alpha=90.00 beta=90.00 gamma=120.00
Fractional coordinates of all 12 atoms:
K 0.000 0.000 0.000
Pa 0.000 0.000 0.500
V 0.333 0.667 0.251
V 0.667 0.333 0.749
O 0.168 0.337 0.327
O 0.168 0.832 0.327
O 0.333 0.667 0.037
O 0.337 0.168 0.673
O 0.663 0.832 0.327
O 0.667 0.333 0.963
O 0.832 0.168 0.673
O 0.832 0.663 0.673

Total DFT energy (no corrections) (eV/atom): -7.882


# 6
First-principles (PBE with a Hubbard U) data for a relaxed KPaWO6 crystal, as listed in Alexandria.

Unit cell a=7.769 b=7.769 c=7.769 alpha=122.09 beta=118.97 gamma=89.11
Fractional coordinates of all 18 atoms:
K 0.404 0.154 0.250
K 0.596 0.846 0.750
Pa 0.000 0.500 0.500
Pa 0.500 0.500 0.000
W 0.000 0.000 0.500
W 0.000 0.500 0.000
O 0.046 0.796 0.250
O 0.057 0.428 0.222
O 0.057 0.835 0.629
O 0.294 0.165 0.722
O 0.294 0.572 0.129
O 0.330 0.580 0.750
O 0.670 0.420 0.250
O 0.706 0.428 0.871
O 0.706 0.835 0.278
O 0.943 0.165 0.371
O 0.943 0.572 0.778
O 0.954 0.204 0.750

Total DFT energy (no corrections) (eV/atom): -7.925


# 7
First-principles (PBE with a Hubbard U) data for a relaxed K2Pa3WO12 crystal, as listed in Alexandria.

Unit cell a=7.872 b=7.872 c=7.872 alpha=60.93 beta=60.93 gamma=60.93
Fractional coordinates of all 18 atoms:
K 0.103 0.103 0.103
K 0.897 0.897 0.897
Pa 0.000 0.500 0.500
Pa 0.500 0.000 0.500
Pa 0.500 0.500 0.000
W 0.500 0.500 0.500
O 0.177 0.177 0.574
O 0.177 0.574 0.177
O 0.211 0.558 0.558
O 0.426 0.823 0.823
O 0.442 0.442 0.789
O 0.442 0.789 0.442
O 0.558 0.211 0.558
O 0.558 0.558 0.211
O 0.574 0.177 0.177
O 0.789 0.442 0.442
O 0.823 0.426 0.823
O 0.823 0.823 0.426

Total DFT energy (no corrections) (eV/atom): -8.232